Record 1
Below is crystalline LiMgTlGa2 at its relaxed geometry, with properties calculated at the PBE-GGA level.

DFT total energy (eV/cell): -10.33
V (Å³ per cell): 145.2
Fermi-level density of states (states/eV/cell): 3.55
Spin magnetization (Bohr magnetons per cell): 0.00

Geometry as CIF:
```
data_LiMgTlGa2
_chemical_formula_sum 'Li1 Mg1 Tl1 Ga2'
_symmetry_space_group_name_H-M 'P 4/m m m'
_symmetry_Int_Tables_number 123
_symmetry_space_group_name_Hall '-P 4 2'
_cell_length_a 5.139
_cell_length_b 5.139
_cell_length_c 5.500
_cell_angle_alpha 90.00
_cell_angle_beta 90.00
_cell_angle_gamma 90.00
loop_
_atom_site_label
_atom_site_type_symbol
_atom_site_fract_x
_atom_site_fract_y
_atom_site_fract_z
Li1 Li 0.000 0.000 0.000
Mg1 Mg 0.500 0.500 0.500
Tl1 Tl 0.500 0.500 0.000
Ga1 Ga 0.000 0.500 0.500
```

Record 2
Below is crystalline AlCrIr2 at its relaxed geometry, with properties calculated at the PBE-GGA level.

DFT total energy (eV/cell): -96.88
V (Å³ per cell): 166.2
Fermi-level density of states (states/eV/cell): 14.19
Spin magnetization (Bohr magnetons per cell): 2.02

Geometry as CIF:
```
data_AlCrIr2
_chemical_formula_sum 'Al3 Cr3 Ir6'
_symmetry_space_group_name_H-M 'R -3 m'
_symmetry_Int_Tables_number 166
_symmetry_space_group_name_Hall '-R 3 2"'
_cell_length_a 2.7829
_cell_length_b 2.7829
_cell_length_c 24.7879
_cell_angle_alpha 90.00
_cell_angle_beta 90.00
_cell_angle_gamma 120.00
loop_
_atom_site_label
_atom_site_type_symbol
_atom_site_fract_x
_atom_site_fract_y
_atom_site_fract_z
Al1 Al 0.0000 0.0000 0.0000
Cr1 Cr 0.0000 0.0000 0.5000
Ir1 Ir 0.0000 0.0000 0.2488
```

Record 3
Below is crystalline Ce2CrAs4Rh3 at its relaxed geometry, with properties calculated at the PBE-GGA level.

DFT total energy (eV/cell): -70.49
V (Å³ per cell): 184.1
Fermi-level density of states (states/eV/cell): 10.30
Spin magnetization (Bohr magnetons per cell): 3.67

Geometry as CIF:
```
data_Ce2CrAs4Rh3
_chemical_formula_sum 'Ce2 Cr1 As4 Rh3'
_symmetry_space_group_name_H-M 'P -4 m 2'
_symmetry_Int_Tables_number 115
_cell_length_a 4.277
_cell_length_b 4.277
_cell_length_c 10.063
_cell_angle_alpha 90.00
_cell_angle_beta 90.00
_cell_angle_gamma 90.00
loop_
_symmetry_equiv_pos_as_xyz
'x,y,z'
'y,-x,-z'
'-x,-y,z'
'-y,x,-z'
'-x,y,z'
'-y,-x,-z'
'x,-y,z'
'y,x,-z'
loop_
_atom_site_label
_atom_site_type_symbol
_atom_site_fract_x
_atom_site_fract_y
_atom_site_fract_z
Ce1 Ce 0.000 0.500 0.242
Cr1 Cr 0.000 0.000 0.500
As1 As 0.000 0.000 0.000
As2 As 0.000 0.500 0.636
As3 As 0.500 0.500 0.000
Rh1 Rh 0.000 0.500 0.879
Rh2 Rh 0.500 0.500 0.500
```

Record 4
Below is crystalline KAlS2 at its relaxed geometry, with properties calculated at the PBE-GGA level.

Energy relative to the elements, uncorrected (eV/f.u.): -3.68
V (Å³ per cell): 369.9
Fermi-level density of states (states/eV/cell): 0.00
Spin magnetization (Bohr magnetons per cell): 0.00

Geometry as CIF:
```
data_KAlS2
_chemical_formula_sum 'K4 Al4 S8'
_symmetry_space_group_name_H-M 'I 41/a m d'
_symmetry_Int_Tables_number 141
_cell_length_a 5.888
_cell_length_b 5.888
_cell_length_c 10.672
_cell_angle_alpha 90.00
_cell_angle_beta 90.00
_cell_angle_gamma 90.00
loop_
_symmetry_equiv_pos_as_xyz
'x,y,z'
'-x,-y,-z'
'-y+1/4,x+3/4,z+1/4'
'y+1/4,-x+3/4,-z+1/4'
'-x+1/2,-y,z+1/2'
'x+1/2,y,-z+1/2'
'y+1/4,-x+1/4,z+3/4'
'-y+1/4,x+1/4,-z+3/4'
'x,-y,-z'
'-x,y,z'
'-y+1/4,-x+1/4,-z+3/4'
'y+1/4,x+1/4,z+3/4'
'-x+1/2,y,-z+1/2'
'x+1/2,-y,z+1/2'
'y+1/4,x+3/4,-z+1/4'
'-y+1/4,-x+3/4,z+1/4'
'x+1/2,y+1/2,z+1/2'
'-x+1/2,-y+1/2,-z+1/2'
'-y+3/4,x+1/4,z+3/4'
'y+3/4,-x+1/4,-z+3/4'
'-x,-y+1/2,z'
'x,y+1/2,-z'
'y+3/4,-x+3/4,z+1/4'
'-y+3/4,x+3/4,-z+1/4'
'x+1/2,-y+1/2,-z+1/2'
'-x+1/2,y+1/2,z+1/2'
'-y+3/4,-x+3/4,-z+1/4'
'y+3/4,x+3/4,z+1/4'
'-x,y+1/2,-z'
'x,-y+1/2,z'
'y+3/4,x+1/4,-z+3/4'
'-y+3/4,-x+1/4,z+3/4'
loop_
_atom_site_label
_atom_site_type_symbol
_atom_site_fract_x
_atom_site_fract_y
_atom_site_fract_z
K1 K 0.000 0.250 0.375
Al1 Al 0.000 0.250 0.875
S1 S 0.000 0.250 0.082
```

Record 5
Below is crystalline NpTcS2 at its relaxed geometry, with properties calculated at the PBE-GGA level.

Energy relative to the elements, uncorrected (eV/f.u.): -2.54
V (Å³ per cell): 143.5
Fermi-level density of states (states/eV/cell): 13.63
Excess energy over the best structure of this formula in the dataset (meV per atom): 0
Spin magnetization (Bohr magnetons per cell): 7.71

Geometry as CIF:
```
data_NpTcS2
_chemical_formula_sum 'Np2 Tc2 S4'
_symmetry_space_group_name_H-M 'I -4 m 2'
_symmetry_Int_Tables_number 119
_symmetry_space_group_name_Hall 'I -4 -2'
_cell_length_a 3.386
_cell_length_b 3.386
_cell_length_c 12.513
_cell_angle_alpha 90.00
_cell_angle_beta 90.00
_cell_angle_gamma 90.00
loop_
_atom_site_label
_atom_site_type_symbol
_atom_site_fract_x
_atom_site_fract_y
_atom_site_fract_z
Np1 Np 0.000 0.000 0.000
Tc1 Tc 0.000 0.500 0.750
S1 S 0.000 0.000 0.376
```

Record 6
Below is crystalline BaTmGa2 at its relaxed geometry, with properties calculated at the PBE-GGA level.

V (Å³ per cell): 354.2
Fermi-level density of states (states/eV/cell): 13.47
Excess energy over the best structure of this formula in the dataset (meV per atom): 275
Spin magnetization (Bohr magnetons per cell): 0.00

Geometry as CIF:
```
data_BaTmGa2
_chemical_formula_sum 'Ba3 Tm3 Ga6'
_symmetry_space_group_name_H-M 'R -3 m'
_symmetry_Int_Tables_number 166
_symmetry_space_group_name_Hall '-R 3 2"'
_cell_length_a 3.8060
_cell_length_b 3.8060
_cell_length_c 28.2359
_cell_angle_alpha 90.00
_cell_angle_beta 90.00
_cell_angle_gamma 120.00
loop_
_atom_site_label
_atom_site_type_symbol
_atom_site_fract_x
_atom_site_fract_y
_atom_site_fract_z
Ba1 Ba 0.0000 0.0000 0.0000
Tm1 Tm 0.0000 0.0000 0.5000
Ga1 Ga 0.0000 0.0000 0.2404
```

Record 7
Below is crystalline BaInHg2Pd at its relaxed geometry, with properties calculated at the PBE-GGA level.

V (Å³ per cell): 277.6
Fermi-level density of states (states/eV/cell): 6.58
Excess energy over the best structure of this formula in the dataset (meV per atom): 0
Spin magnetization (Bohr magnetons per cell): 0.00

Geometry as CIF:
```
data_BaInHg2Pd
_chemical_formula_sum 'Ba2 In2 Hg4 Pd2'
_symmetry_space_group_name_H-M 'I m m 2'
_symmetry_Int_Tables_number 44
_cell_length_a 4.624
_cell_length_b 4.900
_cell_length_c 12.253
_cell_angle_alpha 90.00
_cell_angle_beta 90.00
_cell_angle_gamma 90.00
loop_
_symmetry_equiv_pos_as_xyz
'x,y,z'
'-x,-y,z'
'-x,y,z'
'x,-y,z'
'x+1/2,y+1/2,z+1/2'
'-x+1/2,-y+1/2,z+1/2'
'-x+1/2,y+1/2,z+1/2'
'x+1/2,-y+1/2,z+1/2'
loop_
_atom_site_label
_atom_site_type_symbol
_atom_site_fract_x
_atom_site_fract_y
_atom_site_fract_z
Ba1 Ba 0.000 0.000 0.000
In1 In 0.000 0.500 0.759
Hg1 Hg 0.000 0.000 0.605
Hg2 Hg 0.000 0.500 0.268
Pd1 Pd 0.000 0.000 0.379
```

Repeat the fifth record exactly.
Below is crystalline NpTcS2 at its relaxed geometry, with properties calculated at the PBE-GGA level.

Energy relative to the elements, uncorrected (eV/f.u.): -2.54
V (Å³ per cell): 143.5
Fermi-level density of states (states/eV/cell): 13.63
Excess energy over the best structure of this formula in the dataset (meV per atom): 0
Spin magnetization (Bohr magnetons per cell): 7.71

Geometry as CIF:
```
data_NpTcS2
_chemical_formula_sum 'Np2 Tc2 S4'
_symmetry_space_group_name_H-M 'I -4 m 2'
_symmetry_Int_Tables_number 119
_symmetry_space_group_name_Hall 'I -4 -2'
_cell_length_a 3.386
_cell_length_b 3.386
_cell_length_c 12.513
_cell_angle_alpha 90.00
_cell_angle_beta 90.00
_cell_angle_gamma 90.00
loop_
_atom_site_label
_atom_site_type_symbol
_atom_site_fract_x
_atom_site_fract_y
_atom_site_fract_z
Np1 Np 0.000 0.000 0.000
Tc1 Tc 0.000 0.500 0.750
S1 S 0.000 0.000 0.376
```

What is the V in the second record?
166.2 Å³ per cell

Please write out number 2 again, unchanged.
Below is crystalline AlCrIr2 at its relaxed geometry, with properties calculated at the PBE-GGA level.

DFT total energy (eV/cell): -96.88
V (Å³ per cell): 166.2
Fermi-level density of states (states/eV/cell): 14.19
Spin magnetization (Bohr magnetons per cell): 2.02

Geometry as CIF:
```
data_AlCrIr2
_chemical_formula_sum 'Al3 Cr3 Ir6'
_symmetry_space_group_name_H-M 'R -3 m'
_symmetry_Int_Tables_number 166
_symmetry_space_group_name_Hall '-R 3 2"'
_cell_length_a 2.7829
_cell_length_b 2.7829
_cell_length_c 24.7879
_cell_angle_alpha 90.00
_cell_angle_beta 90.00
_cell_angle_gamma 120.00
loop_
_atom_site_label
_atom_site_type_symbol
_atom_site_fract_x
_atom_site_fract_y
_atom_site_fract_z
Al1 Al 0.0000 0.0000 0.0000
Cr1 Cr 0.0000 0.0000 0.5000
Ir1 Ir 0.0000 0.0000 0.2488
```